1.
Below is a relaxed CaNd14Th crystal, with properties calculated at the GGA-PBE level.

Lattice parameters (Å, degrees): 7.3601 7.3601 10.4192 90.00 90.00 90.00
Last column: nearest neighbours and their distance in Å.
Fractional coordinates of all 16 atoms:
Ca1 0.0000 0.0000 0.0000  12 Nd 3.68-3.73
Nd1 0.0000 0.0000 0.5000  12 Nd 3.68-3.73
Nd2 0.0000 0.5000 0.0000  2 Th 3.68, 2 Ca 3.68, 8 Nd 3.68
Nd3 0.0000 0.5000 0.5000  12 Nd 3.68
Nd4 0.2561 0.2561 0.2501  10 Nd 3.59-3.77, 1 Th 3.64, 1 Ca 3.73
Nd5 0.2561 0.2561 0.7499  10 Nd 3.59-3.77, 1 Th 3.64, 1 Ca 3.73
Nd6 0.2561 0.7439 0.2501  10 Nd 3.59-3.77, 1 Th 3.64, 1 Ca 3.73
Nd7 0.2561 0.7439 0.7499  10 Nd 3.59-3.77, 1 Th 3.64, 1 Ca 3.73
Nd8 0.5000 0.0000 0.0000  2 Th 3.68, 2 Ca 3.68, 8 Nd 3.68
Nd9 0.5000 0.0000 0.5000  12 Nd 3.68
Nd10 0.5000 0.5000 0.5000  12 Nd 3.64-3.68
Nd11 0.7439 0.2561 0.2501  10 Nd 3.59-3.77, 1 Th 3.64, 1 Ca 3.73
Nd12 0.7439 0.2561 0.7499  10 Nd 3.59-3.77, 1 Th 3.64, 1 Ca 3.73
Nd13 0.7439 0.7439 0.2501  10 Nd 3.59-3.77, 1 Th 3.64, 1 Ca 3.73
Nd14 0.7439 0.7439 0.7499  10 Nd 3.59-3.77, 1 Th 3.64, 1 Ca 3.73
Th1 0.5000 0.5000 0.0000  12 Nd 3.64-3.68

Output
**Crystal system**: tetragonal
**Symmetry**: P4/mmm, No. 123
**Size of the total moment**: 0.0 μB per formula unit
**Energy of formation from the pure elements**: 0.029 eV per atom
**DOS at the Fermi energy**: 1.289 states/eV per atom
**Energy**: -4.732 eV/atom


2.
Below is a relaxed SrLiAl2 crystal, with properties calculated at the GGA-PBE level.

Lattice parameters (Å, degrees): 5.7666 5.7666 3.2969 91.14 91.14 116.34
Last column: nearest neighbours and their distance in Å.
Fractional coordinates of all 4 atoms:
Sr1 0.0000 0.0000 0.0000  2 Li 3.04, 8 Al 3.29-3.35, 2 Sr 3.30
Li1 0.5000 0.5000 0.0000  2 Sr 3.04, 8 Al 3.29-3.35, 2 Li 3.30
Al1 0.0000 0.5000 0.5000  4 Al 3.04-3.30, 4 Li 3.29-3.35, 4 Sr 3.29-3.35
Al2 0.5000 0.0000 0.5000  4 Al 3.04-3.30, 4 Li 3.29-3.35, 4 Sr 3.29-3.35

Output
**Crystal system**: monoclinic
**Symmetry**: C2/m, No. 12
**Energy above the most stable polymorph in this dataset**: 0.304 eV per atom
**Size of the total moment**: 0.0 μB per formula unit
**Energy of formation from the pure elements**: 0.110 eV per atom
**DOS at the Fermi energy**: 0.602 states/eV per atom
**Energy**: -2.661 eV/atom


3.
Below is a relaxed Pr4YMg3 crystal, with properties calculated at the GGA-PBE level.

Lattice parameters (Å, degrees): 3.8820 5.6493 11.3620 90.00 90.00 90.00
Last column: nearest neighbours and their distance in Å.
Fractional coordinates of all 8 atoms:
Pr1 0.0000 0.0000 0.0000  8 Mg 3.43-3.44
Pr2 0.0000 0.0000 0.5000  4 Y 3.43, 4 Mg 3.44
Pr3 0.0000 0.5000 0.2390  6 Mg 3.34-3.43, 2 Y 3.54
Pr4 0.0000 0.5000 0.7610  6 Mg 3.34-3.43, 2 Y 3.54
Y1 0.5000 0.5000 0.5000  8 Pr 3.43-3.54
Mg1 0.5000 0.0000 0.2505  8 Pr 3.43-3.44
Mg2 0.5000 0.0000 0.7495  8 Pr 3.43-3.44
Mg3 0.5000 0.5000 0.0000  8 Pr 3.34-3.43

Output
**Crystal system**: orthorhombic
**Symmetry**: Pmmm, No. 47
**Size of the total moment**: 0.0 μB per formula unit
**Energy of formation from the pure elements**: -0.046 eV per atom
**DOS at the Fermi energy**: 1.282 states/eV per atom
**Energy**: -3.842 eV/atom


4.
Below is a relaxed Cu2RePt crystal, with properties calculated at the GGA-PBE level.

Lattice parameters (Å, degrees): 5.4802 5.4802 5.4802 102.62 102.62 124.28
Last column: nearest neighbours and their distance in Å.
Fractional coordinates of all 8 atoms:
Cu1 0.1209 0.6250 0.9959  2 Re 2.49, 2 Pt 2.52, 2 Cu 2.56
Cu2 0.3750 0.3709 0.4959  2 Re 2.49, 2 Pt 2.52, 2 Cu 2.56
Cu3 0.6291 0.1250 0.0041  2 Re 2.49, 2 Pt 2.52, 2 Cu 2.56
Cu4 0.8750 0.8791 0.5041  2 Re 2.49, 2 Pt 2.52, 2 Cu 2.56
Re1 0.0000 0.0000 0.0000  4 Cu 2.49, 2 Pt 2.56
Re2 0.7500 0.2500 0.5000  4 Cu 2.49, 2 Pt 2.56
Pt1 0.2500 0.7500 0.5000  4 Cu 2.52, 2 Re 2.56
Pt2 0.5000 0.5000 0.0000  4 Cu 2.52, 2 Re 2.56

Output
**Crystal system**: tetragonal
**Symmetry**: I-42d, No. 122
**Energy above the most stable polymorph in this dataset**: 0.733 eV per atom
**Size of the total moment**: 0.0 μB per formula unit
**Energy of formation from the pure elements**: 0.758 eV per atom
**DOS at the Fermi energy**: 0.802 states/eV per atom
**Energy**: -5.913 eV/atom


5.
Below is a relaxed SmSc12Al3 crystal, with properties calculated at the GGA-PBE level.

Lattice parameters (Å, degrees): 4.4660 4.4660 18.2686 90.00 90.00 90.00
Last column: nearest neighbours and their distance in Å.
Fractional coordinates of all 16 atoms:
Sm1 0.0000 0.0000 0.0000  12 Sc 3.16-3.38
Sc1 0.0000 0.5000 0.1388  2 Al 3.13, 8 Sc 3.16-3.38, 2 Sm 3.38
Sc2 0.0000 0.5000 0.3797  8 Sc 3.11-3.16, 4 Al 3.13-3.14
Sc3 0.0000 0.5000 0.6203  8 Sc 3.11-3.16, 4 Al 3.13-3.14
Sc4 0.0000 0.5000 0.8612  2 Al 3.13, 8 Sc 3.16-3.38, 2 Sm 3.38
Sc5 0.5000 0.0000 0.1388  2 Al 3.13, 8 Sc 3.16-3.38, 2 Sm 3.38
Sc6 0.5000 0.0000 0.3797  8 Sc 3.11-3.16, 4 Al 3.13-3.14
Sc7 0.5000 0.0000 0.6203  8 Sc 3.11-3.16, 4 Al 3.13-3.14
Sc8 0.5000 0.0000 0.8612  2 Al 3.13, 8 Sc 3.16-3.38, 2 Sm 3.38
Sc9 0.5000 0.5000 0.0000  4 Sm 3.16, 8 Sc 3.38
Sc10 0.5000 0.5000 0.2610  8 Sc 3.11-3.16, 4 Al 3.16
Sc11 0.5000 0.5000 0.5000  8 Sc 3.13, 4 Al 3.16
Sc12 0.5000 0.5000 0.7390  8 Sc 3.11-3.16, 4 Al 3.16
Al1 0.0000 0.0000 0.2592  12 Sc 3.13-3.16
Al2 0.0000 0.0000 0.5000  12 Sc 3.13-3.16
Al3 0.0000 0.0000 0.7408  12 Sc 3.13-3.16

Output
**Crystal system**: tetragonal
**Symmetry**: P4/mmm, No. 123
**Size of the total moment**: 0.3 μB per formula unit
**Energy of formation from the pure elements**: -0.152 eV per atom
**DOS at the Fermi energy**: 1.415 states/eV per atom
**Energy**: -5.897 eV/atom


6.
Below is a relaxed CeTm5Pb5 crystal, with properties calculated at the GGA-PBE level.

Lattice parameters (Å, degrees): 8.3504 8.3504 7.4250 101.88 101.88 44.06
Last column: nearest neighbours and their distance in Å.
Fractional coordinates of all 11 atoms:
Ce1 0.0000 0.0000 0.0000  6 Pb 3.13-3.27
Tm1 0.0000 0.0000 0.5000  4 Pb 3.10
Tm2 0.3316 0.3316 0.1548  5 Pb 3.07-3.15
Tm3 0.3483 0.3483 0.6559  5 Pb 3.06-3.20
Tm4 0.6517 0.6517 0.3441  5 Pb 3.06-3.20
Tm5 0.6684 0.6684 0.8452  5 Pb 3.07-3.15
Pb1 0.1698 0.1698 0.3451  5 Tm 3.10-3.18, 1 Ce 3.24, 1 Pb 3.45
Pb2 0.1711 0.1711 0.8101  5 Tm 3.10-3.20, 1 Ce 3.27, 1 Pb 3.45
Pb3 0.5000 0.5000 0.0000  4 Tm 3.06-3.07, 2 Ce 3.13
Pb4 0.8289 0.8289 0.1899  5 Tm 3.10-3.20, 1 Ce 3.27, 1 Pb 3.45
Pb5 0.8302 0.8302 0.6549  5 Tm 3.10-3.18, 1 Ce 3.24, 1 Pb 3.45

Output
**Crystal system**: monoclinic
**Symmetry**: C2/m, No. 12
**Size of the total moment**: 0.6 μB per formula unit
**Energy of formation from the pure elements**: -0.198 eV per atom
**DOS at the Fermi energy**: 1.178 states/eV per atom
**Energy**: -4.455 eV/atom


7.
Below is a relaxed Pa3Ga2Co3 crystal, with properties calculated at the GGA-PBE level.

Lattice parameters (Å, degrees): 6.8204 13.9281 6.2314 90.00 90.00 90.00
Last column: nearest neighbours and their distance in Å.
Fractional coordinates of all 32 atoms:
Pa1 0.0559 0.1109 0.1794  2 Co 2.53-2.61
Pa2 0.0559 0.3891 0.1794  2 Co 2.53-2.61
Pa3 0.0951 0.7500 0.3849  4 Co 2.69-2.96
Pa4 0.4049 0.2500 0.8849  4 Co 2.69-2.96
Pa5 0.4441 0.6109 0.6794  2 Co 2.53-2.61
Pa6 0.4441 0.8891 0.6794  2 Co 2.53-2.61
Pa7 0.5559 0.1109 0.3206  2 Co 2.53-2.61
Pa8 0.5559 0.3891 0.3206  2 Co 2.53-2.61
Pa9 0.5951 0.7500 0.1151  4 Co 2.69-2.96
Pa10 0.9049 0.2500 0.6151  4 Co 2.69-2.96
Pa11 0.9441 0.6109 0.8206  2 Co 2.53-2.61
Pa12 0.9441 0.8891 0.8206  2 Co 2.53-2.61
Ga1 0.2039 0.0897 0.6434  4 Co 2.37-2.61
Ga2 0.2039 0.4103 0.6434  4 Co 2.37-2.61
Ga3 0.2961 0.5897 0.1434  4 Co 2.37-2.61
Ga4 0.2961 0.9103 0.1434  4 Co 2.37-2.61
Ga5 0.7039 0.0897 0.8566  4 Co 2.37-2.61
Ga6 0.7039 0.4103 0.8566  4 Co 2.37-2.61
Ga7 0.7961 0.5897 0.3566  4 Co 2.37-2.61
Ga8 0.7961 0.9103 0.3566  4 Co 2.37-2.61
Co1 0.1384 0.5626 0.4764  3 Ga 2.37-2.48, 2 Pa 2.53-2.61, 1 Co 2.59
Co2 0.1384 0.9374 0.4764  3 Ga 2.37-2.48, 2 Pa 2.53-2.61, 1 Co 2.59
Co3 0.2361 0.7500 0.9355  2 Ga 2.61, 5 Pa 2.69-2.88
Co4 0.2639 0.2500 0.4355  2 Ga 2.61, 5 Pa 2.69-2.88
Co5 0.3616 0.0626 0.9764  3 Ga 2.37-2.48, 2 Pa 2.53-2.61, 1 Co 2.59
Co6 0.3616 0.4374 0.9764  3 Ga 2.37-2.48, 2 Pa 2.53-2.61, 1 Co 2.59
Co7 0.6384 0.5626 0.0236  3 Ga 2.37-2.48, 2 Pa 2.53-2.61, 1 Co 2.59
Co8 0.6384 0.9374 0.0236  3 Ga 2.37-2.48, 2 Pa 2.53-2.61, 1 Co 2.59
Co9 0.7361 0.7500 0.5645  2 Ga 2.61, 5 Pa 2.69-2.88
Co10 0.7639 0.2500 0.0645  2 Ga 2.61, 5 Pa 2.69-2.88
Co11 0.8616 0.0626 0.5236  3 Ga 2.37-2.48, 2 Pa 2.53-2.61, 1 Co 2.59
Co12 0.8616 0.4374 0.5236  3 Ga 2.37-2.48, 2 Pa 2.53-2.61, 1 Co 2.59

Output
**Crystal system**: orthorhombic
**Symmetry**: Pnma, No. 62
**Size of the total moment**: 0.0 μB per formula unit
**Energy of formation from the pure elements**: -0.380 eV per atom
**DOS at the Fermi energy**: 1.117 states/eV per atom
**Energy**: -7.362 eV/atom


8.
Below is a relaxed MnNb3Tc2 crystal, with properties calculated at the GGA-PBE level.

Lattice parameters (Å, degrees): 3.1602 3.1602 9.4541 90.00 90.00 90.00
Last column: nearest neighbours and their distance in Å.
Fractional coordinates of all 6 atoms:
Mn1 0.0000 0.0000 0.0000  8 Nb 2.70
Nb1 0.5000 0.5000 0.1608  4 Mn 2.70, 4 Tc 2.75
Nb2 0.5000 0.5000 0.5000  8 Tc 2.75
Nb3 0.5000 0.5000 0.8392  4 Mn 2.70, 4 Tc 2.75
Tc1 0.0000 0.0000 0.3301  8 Nb 2.75
Tc2 0.0000 0.0000 0.6699  8 Nb 2.75

Output
**Crystal system**: tetragonal
**Symmetry**: P4/mmm, No. 123
**Size of the total moment**: 0.0 μB per formula unit
**Energy of formation from the pure elements**: -0.257 eV per atom
**DOS at the Fermi energy**: 0.291 states/eV per atom
**Energy**: -10.275 eV/atom